[1]
VASP calculation (PBEsol) on a relaxed Y2PH crystal.

Unit cell a=4.631 b=4.631 c=4.631 alpha=60.00 beta=60.00 gamma=60.00
Sites, in units of the cell vectors:
Y  0.250  0.250  0.250
Y  0.750  0.750  0.750
P  0.500  0.500  0.500
H  0.000  0.000  0.000

***

[2]
VASP calculation (PBEsol) on a relaxed ZnPH3 crystal.

Unit cell a=3.489 b=3.489 c=3.489 alpha=90.00 beta=90.00 gamma=90.00
Sites, in units of the cell vectors:
P  0.500  0.500  0.500
Zn  0.000  0.000  0.000
H  0.000  0.500  0.000
H  0.000  0.000  0.500
H  0.500  0.000  0.000

***

[3]
VASP calculation (PBEsol) on a relaxed ZrP3H crystal.

Unit cell a=4.007 b=4.007 c=4.007 alpha=90.00 beta=90.00 gamma=90.00
Sites, in units of the cell vectors:
P  0.000  0.500  0.000
P  0.000  0.000  0.500
P  0.500  0.000  0.000
Zr  0.500  0.500  0.500
H  0.000  0.000  0.000

***

The records above give, respectively, VASP energy values of -6.398 -2.606 -5.883 eV/atom.